VASP calculation (PBE+U) on a relaxed La2AlVO6 crystal.

Cell lengths 5.505, 5.517, 9.565 Å; angles 90.00, 125.01, 90.00 degrees
Fractional positions:
La 0.244 0.028 0.250
La 0.244 0.472 0.750
La 0.756 0.528 0.250
La 0.756 0.972 0.750
Al 0.000 0.000 0.500
Al 0.000 0.500 0.000
V 0.500 0.000 0.000
V 0.500 0.500 0.500
O 0.180 0.229 0.964
O 0.180 0.271 0.464
O 0.233 0.716 0.962
O 0.233 0.784 0.462
O 0.311 0.008 0.741
O 0.311 0.492 0.241
O 0.689 0.508 0.759
O 0.689 0.992 0.259
O 0.767 0.216 0.538
O 0.767 0.284 0.038
O 0.820 0.729 0.536
O 0.820 0.771 0.036

Computed properties:
As for the density of states at the Fermi level: 0.0 states/eV/f.u. The total energy is -8.1443 eV/atom. As for the total moment: 4.0 μB per cell.

---

VASP calculation (PBE+U) on a relaxed LaAlVO6 crystal.

Cell lengths 5.043, 5.043, 5.155 Å; angles 90.00, 90.00, 120.00 degrees
Fractional positions:
La 0.000 0.000 0.000
Al 0.333 0.667 0.500
V 0.667 0.333 0.500
O 0.379 0.002 0.706
O 0.379 0.377 0.294
O 0.623 0.002 0.294
O 0.623 0.621 0.706
O 0.998 0.377 0.706
O 0.998 0.621 0.294

Computed properties:
As for the density of states at the Fermi level: 6.8 states/eV/f.u. The total energy is -7.5405 eV/atom. As for the total moment: 1.1 μB per cell.

---

VASP calculation (PBE+U) on a relaxed LaAlV2O8 crystal.

Cell lengths 5.476, 5.476, 6.514 Å; angles 90.00, 90.00, 120.00 degrees
Fractional positions:
La 0.000 0.000 0.000
Al 0.000 0.000 0.500
V 0.333 0.667 0.244
V 0.667 0.333 0.756
O 0.155 0.311 0.316
O 0.155 0.845 0.316
O 0.311 0.155 0.684
O 0.333 0.667 0.985
O 0.667 0.333 0.015
O 0.689 0.845 0.316
O 0.845 0.155 0.684
O 0.845 0.689 0.684

Computed properties:
As for the density of states at the Fermi level: 0.0 states/eV/f.u. The total energy is -7.7675 eV/atom. As for the total moment: 0.0 μB per cell.

---

VASP calculation (PBE+U) on a relaxed LaAlWO6 crystal.

Cell lengths 5.131, 5.131, 5.215 Å; angles 90.00, 90.00, 120.00 degrees
Fractional positions:
La 0.000 0.000 0.000
Al 0.333 0.667 0.500
W 0.667 0.333 0.500
O 0.004 0.377 0.707
O 0.004 0.626 0.293
O 0.374 0.377 0.293
O 0.374 0.996 0.707
O 0.623 0.626 0.707
O 0.623 0.996 0.293

Computed properties:
As for the density of states at the Fermi level: 0.0 states/eV/f.u. The total energy is -7.8484 eV/atom. As for the total moment: 0.0 μB per cell.

---

VASP calculation (PBE+U) on a relaxed LaAl2WO8 crystal.

Cell lengths 4.605, 4.605, 6.631 Å; angles 90.00, 90.00, 91.58 degrees
Fractional positions:
La 0.000 0.000 0.000
Al 0.500 0.500 0.275
Al 0.500 0.500 0.725
W 0.000 0.000 0.500
O 0.210 0.210 0.292
O 0.210 0.210 0.708
O 0.301 0.699 0.500
O 0.345 0.655 0.000
O 0.655 0.345 0.000
O 0.699 0.301 0.500
O 0.790 0.790 0.292
O 0.790 0.790 0.708

Computed properties:
As for the density of states at the Fermi level: 1.3 states/eV/f.u. The total energy is -7.4209 eV/atom. As for the total moment: 0.2 μB per cell.